Record 1
First-principles (PBE) data for crystalline Cs3TlCd2Br8 at its relaxed geometry, as listed in Alexandria via LeMat-Bulk.

Properties
- formation energy from raw total energies (meV/atom) = -1263.0
- DFT total energy (hartree per atom) = -0.099

a = 8.3668 Å, b = 8.3668 Å, c = 10.4082 Å
α = 90.00°, β = 90.00°, γ = 120.00°
Space group P-3m1 (No. 164)
One atom of each set of equivalent atoms:
Cs (0.0000, 0.0000, 0.0000) (multiplicity 1)
Cs (0.3333, 0.6667, 0.6093) (multiplicity 2)
Tl (0.0000, 0.0000, 0.5000) (multiplicity 1)
Cd (0.3333, 0.6667, 0.1892) (multiplicity 2)
Br (0.1693, 0.3385, 0.3030) (multiplicity 6)
Br (0.3333, 0.6667, 0.9438) (multiplicity 2)

---

Record 2
First-principles (PBE) data for crystalline ZnInBr3 at its relaxed geometry, as listed in Alexandria via LeMat-Bulk.

Properties
- E above lowest polymorph (meV/atom) = 8
- formation energy from raw total energies (meV/atom) = -784.6
- DFT total energy (hartree per atom) = -0.095

a = 7.392 Å, b = 7.398 Å, c = 8.000 Å
α = 91.70°, β = 108.57°, γ = 108.06°
Space group P-1 (No. 2)
One atom of each set of equivalent atoms:
Zn (0.071, 0.346, 0.137) (multiplicity 2)
In (0.274, 0.267, 0.729) (multiplicity 2)
Br (0.103, 0.802, 0.671) (multiplicity 2)
Br (0.151, 0.705, 0.185) (multiplicity 2)
Br (0.370, 0.277, 0.151) (multiplicity 2)

---

Record 3
First-principles (PBE) data for crystalline TiCo2RhC at its relaxed geometry, as listed in Alexandria via LeMat-Bulk.

Properties
- energy relative to the elements (eV per atom) = -0.20
- DFT total energy (hartree per atom) = -0.292

a = 3.727 Å, b = 3.727 Å, c = 4.187 Å
α = 90.00°, β = 90.00°, γ = 90.00°
Space group P4/mmm (No. 123)
One atom of each set of equivalent atoms:
Ti (0.000, 0.000, 0.000) (multiplicity 1)
Co (0.000, 0.500, 0.500) (multiplicity 2)
Rh (0.500, 0.500, 0.000) (multiplicity 1)
C (0.000, 0.000, 0.500) (multiplicity 1)

---

Record 4
First-principles (PBE) data for crystalline Ca2CuSnAu6 at its relaxed geometry, as listed in Alexandria via LeMat-Bulk.

Properties
- energy relative to the elements (eV per atom) = -0.39
- DFT total energy (hartree per atom) = -0.131

a = 5.550 Å, b = 6.486 Å, c = 7.328 Å
α = 76.21°, β = 67.88°, γ = 64.69°
Space group P-1 (No. 2)
One atom of each set of equivalent atoms:
Ca (0.012, 0.209, 0.262) (multiplicity 2)
Cu (0.500, 0.000, 0.500) (multiplicity 1)
Sn (0.500, 0.500, 0.000) (multiplicity 1)
Au (0.009, 0.317, 0.664) (multiplicity 2)
Au (0.330, 0.957, 0.889) (multiplicity 2)
Au (0.489, 0.682, 0.337) (multiplicity 2)

---

Record 5
First-principles (PBE) data for crystalline Na2CeNpCl8 at its relaxed geometry, as listed in Alexandria via LeMat-Bulk.

Properties
- formation energy from raw total energies (meV/atom) = -1903.5
- DFT total energy (hartree per atom) = -0.181

a = 6.544 Å, b = 6.623 Å, c = 8.554 Å
α = 90.43°, β = 90.50°, γ = 93.03°
Space group P-1 (No. 2)
One atom of each set of equivalent atoms:
Na (0.001, 0.001, 0.251) (multiplicity 2)
Ce (0.500, 0.500, 0.000) (multiplicity 1)
Np (0.500, 0.500, 0.500) (multiplicity 1)
Cl (0.212, 0.191, 0.001) (multiplicity 2)
Cl (0.214, 0.193, 0.504) (multiplicity 2)
Cl (0.300, 0.676, 0.747) (multiplicity 2)
Cl (0.302, 0.678, 0.253) (multiplicity 2)

---

Record 6
First-principles (PBE) data for crystalline La2PmNdDy5 at its relaxed geometry, as listed in Alexandria via LeMat-Bulk.

Properties
- energy relative to the elements (eV per atom) = 0.24
- DFT total energy (hartree per atom) = -0.164

a = 8.706 Å, b = 8.706 Å, c = 15.889 Å
α = 90.00°, β = 90.00°, γ = 90.00°
Space group I4/mcm (No. 140)
One atom of each set of equivalent atoms:
La (0.118, 0.382, 0.000) (multiplicity 8)
Pm (0.000, 0.000, 0.250) (multiplicity 4)
Nd (0.000, 0.500, 0.250) (multiplicity 4)
Dy (0.000, 0.000, 0.000) (multiplicity 4)
Dy (0.213, 0.287, 0.360) (multiplicity 16)

---

Record 7
First-principles (PBE) data for crystalline Sc2CdSe at its relaxed geometry, as listed in Alexandria via LeMat-Bulk.

Properties
- E above lowest polymorph (meV/atom) = 269
- formation energy from raw total energies (meV/atom) = -605.8
- DFT total energy (hartree per atom) = -0.179

a = 3.809 Å, b = 5.478 Å, c = 8.489 Å
α = 90.00°, β = 90.00°, γ = 90.00°
Space group Immm (No. 71)
One atom of each set of equivalent atoms:
Sc (0.000, 0.000, 0.222) (multiplicity 4)
Cd (0.000, 0.500, 0.000) (multiplicity 2)
Se (0.000, 0.500, 0.500) (multiplicity 2)

---

Record 8
First-principles (PBE) data for crystalline TlAg2Sb2 at its relaxed geometry, as listed in Alexandria via LeMat-Bulk.

Properties
- E above lowest polymorph (meV/atom) = 129
- formation energy from raw total energies (meV/atom) = 157.6
- DFT total energy (hartree per atom) = -0.114

a = 4.935 Å, b = 4.935 Å, c = 11.329 Å
α = 90.00°, β = 90.00°, γ = 90.00°
Space group I4/mmm (No. 139)
One atom of each set of equivalent atoms:
Tl (0.000, 0.000, 0.000) (multiplicity 2)
Ag (0.000, 0.000, 0.376) (multiplicity 4)
Sb (0.000, 0.500, 0.250) (multiplicity 4)

---

Record 9
First-principles (PBE) data for crystalline ZrSc2Ni at its relaxed geometry, as listed in Alexandria via LeMat-Bulk.

Properties
- E above lowest polymorph (meV/atom) = 251
- energy relative to the elements (eV per atom) = 0.00
- DFT total energy (hartree per atom) = -0.248

a = 7.593 Å, b = 7.593 Å, c = 5.763 Å
α = 90.00°, β = 90.00°, γ = 90.00°
Space group I-42d (No. 122)
One atom of each set of equivalent atoms:
Zr (0.000, 0.000, 0.000) (multiplicity 4)
Sc (0.187, 0.250, 0.625) (multiplicity 8)
Ni (0.000, 0.000, 0.500) (multiplicity 4)

---

Record 10
First-principles (PBE) data for crystalline FeCu2W at its relaxed geometry, as listed in Alexandria via LeMat-Bulk.

Properties
- E above lowest polymorph (meV/atom) = 65
- energy relative to the elements (eV per atom) = 0.27
- DFT total energy (hartree per atom) = -0.262

a = 2.557 Å, b = 4.189 Å, c = 4.889 Å
α = 90.00°, β = 95.88°, γ = 90.00°
Space group Pm (No. 6)
One atom of each set of equivalent atoms:
Fe (0.000, 0.000, 0.000) (multiplicity 1)
Cu (0.354, 0.500, 0.763) (multiplicity 1)
Cu (0.384, 0.000, 0.508) (multiplicity 1)
W (0.795, 0.500, 0.262) (multiplicity 1)

---

Record 11
First-principles (PBE) data for crystalline Pb3W at its relaxed geometry, as listed in Alexandria via LeMat-Bulk.

Properties
- E above lowest polymorph (meV/atom) = 243
- energy relative to the elements (eV per atom) = 0.70
- DFT total energy (hartree per atom) = -0.195

a = 3.3107 Å, b = 3.3107 Å, c = 10.9226 Å
α = 90.00°, β = 90.00°, γ = 120.00°
Space group P-6m2 (No. 187)
One atom of each set of equivalent atoms:
Pb (0.0000, 0.0000, 0.0000) (multiplicity 1)
Pb (0.3333, 0.6667, 0.2895) (multiplicity 2)
W (0.0000, 0.0000, 0.5000) (multiplicity 1)

---

Record 12
First-principles (PBE) data for crystalline Zr2CuRh at its relaxed geometry, as listed in Alexandria via LeMat-Bulk.

Properties
- energy relative to the elements (eV per atom) = -0.32
- DFT total energy (hartree per atom) = -0.274

a = 3.417 Å, b = 4.387 Å, c = 9.596 Å
α = 90.00°, β = 90.00°, γ = 90.00°
Space group Imm2 (No. 44)
One atom of each set of equivalent atoms:
Zr (0.000, 0.000, 0.000) (multiplicity 2)
Zr (0.000, 0.500, 0.233) (multiplicity 2)
Cu (0.000, 0.500, 0.769) (multiplicity 2)
Rh (0.000, 0.000, 0.499) (multiplicity 2)

---

Q: Which value of DFT total energy does entry 6 give?
A: -0.164 hartree per atom

---

Q: The lowest DFT total energy belongs to which entry?
A: TiCo2RhC

---

Q: Which of these has the lowest DFT total energy?
A: TiCo2RhC

---

Q: Which value of DFT total energy does entry 4 give?
A: -0.131 hartree per atom